The following is a DFT calculation (PBE) of CsLaPbBr6 after structural relaxation.

Cell: 11.060 10.649 10.926 Å, 119.16 120.40 90.00°
Positions (direct):
Br1 0.421 0.672 0.256
Br2 0.181 0.931 0.362
Br3 0.165 0.328 0.744
Br4 0.579 0.328 0.744
Br5 0.589 0.339 0.177
Br6 0.819 0.069 0.638
Br7 0.579 0.917 0.744
Br8 0.835 0.672 0.256
Br9 0.411 0.661 0.823
Br10 0.421 0.083 0.256
Br11 0.165 0.917 0.744
Br12 0.835 0.083 0.256
Pb1 0.500 0.000 0.000
Pb2 0.500 0.500 0.000
La1 0.000 0.000 0.500
La2 0.500 0.000 0.500
Cs1 0.818 0.568 0.636
Cs2 0.182 0.432 0.364

Values from the calculation:
symmetry: Imma, No. 74
N(E_F): 0.00 states/eV/f.u.
formation energy without anion corrections: -1.5502 eV/atom